Record 1
Ti12Pt5O2: optimized geometry, GGA-PBE.

Unit cell a=6.3005 b=7.9155 c=7.4309 alpha=104.26 beta=90.00 gamma=113.45
Fractional coordinates of all 19 atoms:
Ti 0.6120 0.6938 0.9197
Ti 0.9986 0.9973 0.8301
Ti 0.0014 0.0027 0.1699
Ti 0.0990 0.7091 0.4350
Ti 0.4990 0.9979 0.8062
Ti 0.5010 0.0021 0.1938
Ti 0.6100 0.7091 0.4350
Ti 0.9182 0.3062 0.0803
Ti 0.3900 0.2909 0.5650
Ti 0.9010 0.2909 0.5650
Ti 0.3880 0.3062 0.0803
Ti 0.0818 0.6938 0.9197
Pt 0.7060 0.4119 0.3542
Pt 0.6940 0.3880 0.8422
Pt 0.2940 0.5881 0.6458
Pt 0.0000 0.0000 0.5000
Pt 0.3060 0.6120 0.1578
O 0.2623 0.0000 0.0000
O 0.7377 0.0000 0.0000

Results
* formation energy (no corrections): -15.49 eV/f.u.
* calculated total energy: -7.9131 eV/atom
* size of the total moment: 0.00 Bohr magnetons per cell

---

Record 2
SrCa2Pd: optimized geometry, GGA-PBE.

Unit cell a=4.2336 b=6.8751 c=9.7403 alpha=90.00 beta=90.00 gamma=107.92
Fractional coordinates of all 8 atoms:
Ca 0.6516 0.3031 0.0668
Ca 0.3484 0.6969 0.9332
Ca 0.3484 0.6969 0.5668
Ca 0.6516 0.3031 0.4332
Sr 0.0725 0.1449 0.7500
Sr 0.9275 0.8551 0.2500
Pd 0.7527 0.5052 0.7500
Pd 0.2473 0.4948 0.2500

Results
* calculated total energy: -3.1357 eV/atom
* ΔE to the lowest computed polymorph: 0 meV per atom
* size of the total moment: 0.00 Bohr magnetons per cell

---

Record 3
LaY2Al6: optimized geometry, GGA-PBE.

Unit cell a=3.6259 b=7.9582 c=7.9582 alpha=120.00 beta=90.00 gamma=90.00
Fractional coordinates of all 9 atoms:
La 0.0000 0.0000 0.0000
Al 0.5000 0.0000 0.3363
Al 0.5000 0.6636 0.6637
Al 0.5000 0.6636 0.0000
Al 0.5000 0.0000 0.6637
Al 0.5000 0.3364 0.0000
Al 0.5000 0.3364 0.3363
Y 0.0000 0.3333 0.6667
Y 0.0000 0.6667 0.3333

Results
* calculated total energy: -4.9529 eV/atom
* ΔE to the lowest computed polymorph: 0 meV per atom
* size of the total moment: 0.00 Bohr magnetons per cell

---

Record 4
La5SmSe6: optimized geometry, GGA-PBE.

Unit cell a=7.4275 b=7.4263 c=7.4397 alpha=60.06 beta=80.35 gamma=70.37
Fractional coordinates of all 12 atoms:
Se 0.7543 0.0816 0.3281
Se 0.2482 0.2448 0.0000
Se 0.7543 0.4097 0.6719
Se 0.2457 0.9184 0.6719
Se 0.2457 0.5903 0.3281
Se 0.7518 0.7552 0.0000
La 0.5000 0.5000 0.0000
La 0.5000 0.1685 0.6630
La 0.0000 0.3339 0.3322
La 0.0000 0.6661 0.6678
La 0.5000 0.8315 0.3370
Sm 0.0000 0.0000 0.0000

Results
* formation energy (no corrections): -23.67 eV/f.u.
* calculated total energy: -6.1611 eV/atom
* size of the total moment: 0.00 Bohr magnetons per cell

---

Record 5
BeP2Pt: optimized geometry, GGA-PBE.

Unit cell a=2.9974 b=2.9977 c=6.7480 alpha=90.00 beta=90.00 gamma=90.02
Fractional coordinates of all 4 atoms:
Pt 0.0000 0.0000 0.5263
Be 0.5000 0.5000 0.7422
P 0.5000 0.5000 0.3247
P 0.0000 0.0000 0.9067

Results
* calculated total energy: -5.0484 eV/atom
* size of the total moment: 0.00 Bohr magnetons per cell

---

Record 6
YAg2Ir: optimized geometry, GGA-PBE.

Unit cell a=4.0503 b=4.0535 c=4.5950 alpha=90.00 beta=90.00 gamma=90.00
Fractional coordinates of all 4 atoms:
Y 0.0000 0.5000 0.5000
Ir 0.5000 0.0000 0.5000
Ag 0.0000 0.0000 0.0000
Ag 0.5000 0.5000 0.0000

Results
* calculated total energy: -5.5221 eV/atom
* ΔE to the lowest computed polymorph: 21 meV per atom
* size of the total moment: 0.00 Bohr magnetons per cell

---

Record 7
SmZn3Ir2: optimized geometry, GGA-PBE.

Unit cell a=5.7217 b=6.1375 c=6.1375 alpha=94.77 beta=90.00 gamma=90.00
Fractional coordinates of all 12 atoms:
Zn 0.2500 0.9839 0.9839
Zn 0.7500 0.4396 0.0864
Zn 0.2500 0.9136 0.5604
Zn 0.7500 0.0161 0.0161
Zn 0.2500 0.5604 0.9136
Zn 0.7500 0.0864 0.4396
Ir 0.0000 0.7623 0.2377
Ir 0.0000 0.2377 0.7623
Ir 0.5000 0.7623 0.2377
Ir 0.5000 0.2377 0.7623
Sm 0.7500 0.6443 0.6443
Sm 0.2500 0.3557 0.3557

Results
* calculated total energy: -4.7971 eV/atom
* size of the total moment: 0.00 Bohr magnetons per cell

---

Record 8
BaLi2P: optimized geometry, GGA-PBE.

Unit cell a=4.9343 b=4.9343 c=9.2181 alpha=74.48 beta=74.48 gamma=90.00
Each line ends with the local moment (μB).
Fractional coordinates of all 8 atoms:
P 0.2500 0.7500 0.5000  -0.01
P 0.5000 0.5000 0.0000  -0.01
Li 0.3730 0.6250 0.2500  0.03
Li 0.8750 0.6270 0.7500  0.02
Li 0.3770 0.1250 0.2500  0.03
Li 0.3750 0.6230 0.7500  0.02
Ba 0.0000 0.0000 0.0000  0.06
Ba 0.7500 0.2500 0.5000  0.06

Results
* calculated total energy: -3.1965 eV/atom
* size of the total moment: 0.72 Bohr magnetons per cell

---

Record 9
CeEr2Tm5: optimized geometry, GGA-PBE.

Unit cell a=7.1126 b=7.1118 c=6.6173 alpha=105.57 beta=105.59 gamma=120.02
Each line ends with the local moment (μB).
Fractional coordinates of all 8 atoms:
Er 0.7349 0.3208 0.5000  0.02
Er 0.2349 0.8208 0.5000  0.02
Tm 0.3185 0.7345 0.0000  0.03
Tm 0.3186 0.2370 0.0000  -0.02
Tm 0.2373 0.3188 0.5002  0.04
Tm 0.8211 0.2371 0.0000  0.03
Tm 0.7371 0.8186 0.4998  0.04
Ce 0.8207 0.7354 0.0000  0.63

Results
* calculated total energy: -4.6539 eV/atom
* ΔE to the lowest computed polymorph: 0 meV per atom
* size of the total moment: 0.92 Bohr magnetons per cell